The following is a PBE calculation of a relaxed TaAl3Fe crystal, from Alexandria.

Lattice parameters (Å, degrees): 4.9308 4.9308 4.9308 90.00 90.00 90.00
Closest atoms and distances in Å follow each position.
Fractional coordinates of all 5 atoms:
Ta 0.0000 0.0000 0.0000  6 Al 2.47
Al 0.0000 0.0000 0.5000  2 Ta 2.47
Al 0.0000 0.5000 0.0000  2 Ta 2.47
Al 0.5000 0.0000 0.0000  2 Ta 2.47
Fe 0.5000 0.5000 0.5000  12 Al 3.49

Values from the calculation:
Formation energy from the elements, eV/atom: 1.614
SG: Pm-3m (221)
Energy, eV/cell: -23.47
Total magnetization, μB/f.u.: 0.1
Offset from the most stable computed form, eV/f.u.: 5.66

***

The following is a PBE calculation of a relaxed Pa2Co3 crystal, from Alexandria.

Lattice parameters (Å, degrees): 6.8051 6.8051 6.8051 34.00 34.00 34.00
Closest atoms and distances in Å follow each position.
Fractional coordinates of all 5 atoms:
Pa 0.0905 0.0905 0.0905  6 Co 2.65-2.72
Pa 0.9095 0.9095 0.9095  6 Co 2.65-2.72
Co 0.3555 0.3555 0.3555  3 Co 2.45, 3 Pa 2.65
Co 0.5000 0.5000 0.5000  6 Pa 2.72, 2 Co 2.78
Co 0.6445 0.6445 0.6445  3 Co 2.45, 3 Pa 2.65

Values from the calculation:
Formation energy from the elements, eV/atom: -0.188
SG: R-3m (166)
Energy, eV/cell: -41.25
Total magnetization, μB/f.u.: 0.0
Offset from the most stable computed form, eV/f.u.: 0.73

***

The following is a PBE calculation of a relaxed PmDyTeSe2 crystal, from Alexandria.

Lattice parameters (Å, degrees): 7.8423 7.8423 7.8423 145.41 145.41 49.73
Closest atoms and distances in Å follow each position.
Fractional coordinates of all 5 atoms:
Pm 0.0000 0.0000 0.0000  4 Se 2.86
Dy 0.7222 0.7222 0.0000  4 Se 2.77
Te 0.3657 0.3657 0.0000  4 Pm 3.81, 4 Dy 3.88, 8 Se 4.24-4.27
Se 0.1167 0.6167 0.5000  2 Dy 2.77, 2 Pm 2.86
Se 0.6167 0.1167 0.5000  2 Dy 2.77, 2 Pm 2.86

Values from the calculation:
SG: I4mm (107)
Energy, eV/cell: -26.27
Total magnetization, μB/f.u.: 0.0
ΔE_f (raw), eV/atom: -1.361

***

The calculation returns the following N(E_F) values, one per record and in order: 18.4 7.5 0.3 states/eV/f.u..